Entry from Alexandria: LiPa2SeS4 after structural relaxation (PBE-GGA).

Cell: 12.2519 3.8436 7.6610 Å, 90.00 110.95 90.00°
Element x y z (fractional)
Li: 0.0000 0.0000 0.0000
Li: 0.5000 0.5000 0.0000
Pa: 0.1809 0.0000 0.7075
Pa: 0.3191 0.5000 0.2925
Pa: 0.6809 0.5000 0.7075
Pa: 0.8191 0.0000 0.2925
Se: 0.0000 0.5000 0.5000
Se: 0.5000 0.0000 0.5000
S: 0.1339 0.5000 0.9377
S: 0.1716 0.0000 0.3210
S: 0.3284 0.5000 0.6790
S: 0.3661 0.0000 0.0623
S: 0.6339 0.0000 0.9377
S: 0.6716 0.5000 0.3210
S: 0.8284 0.0000 0.6790
S: 0.8661 0.5000 0.0623

Properties
Calculated density ... 6.67 g/cm³
Energy relative to the elements, uncorrected ... -1.5208 eV/atom
Spin magnetization ... 0.11 μB per atom

---

Entry from Alexandria: ZnPdPb3 after structural relaxation (PBE-GGA).

Cell: 5.2855 5.2855 5.2855 Å, 90.00 90.00 90.00°
Element x y z (fractional)
Zn: 0.0000 0.0000 0.0000
Pd: 0.5000 0.5000 0.5000
Pb: 0.0000 0.0000 0.5000
Pb: 0.0000 0.5000 0.0000
Pb: 0.5000 0.0000 0.0000

Properties
Calculated density ... 8.92 g/cm³
Formation energy ... 0.51 eV per atom
E above lowest polymorph ... 286.7 meV/atom
Spin magnetization ... 0.00 μB per atom

---

Entry from Alexandria: InMoPb2 after structural relaxation (PBE-GGA).

Cell: 6.4949 8.9193 3.4018 Å, 90.00 91.86 90.00°
Element x y z (fractional)
In: 0.0000 0.0000 0.0000
In: 0.5000 0.5000 0.0000
Mo: 0.0000 0.5000 0.0000
Mo: 0.5000 0.0000 0.0000
Pb: 0.2500 0.2500 0.5000
Pb: 0.2500 0.7500 0.5000
Pb: 0.7500 0.2500 0.5000
Pb: 0.7500 0.7500 0.5000

Properties
Calculated density ... 10.54 g/cm³
Formation energy ... 0.68 eV per atom
Spin magnetization ... 0.58 μB per atom

---

Entry from Alexandria: CdW4 after structural relaxation (PBE-GGA).

Cell: 6.1958 6.1958 4.4258 Å, 90.00 90.00 90.00°
Element x y z (fractional)
Cd: 0.0000 0.0000 0.0000
Cd: 0.5000 0.5000 0.5000
W: 0.0808 0.3002 0.5000
W: 0.1998 0.5808 0.0000
W: 0.3002 0.9192 0.5000
W: 0.4192 0.1998 0.0000
W: 0.5808 0.8002 0.0000
W: 0.6998 0.0808 0.5000
W: 0.8002 0.4192 0.0000
W: 0.9192 0.6998 0.5000

Properties
Calculated density ... 16.57 g/cm³
Formation energy ... 0.55 eV per atom
E above lowest polymorph ... 0.0 meV/atom
Spin magnetization ... 0.00 μB per atom

---

Entry from Alexandria: LaNi3S after structural relaxation (PBE-GGA).

Cell: 4.6870 4.6870 4.6870 Å, 90.00 90.00 90.00°
Element x y z (fractional)
La: 0.0000 0.0000 0.0000
Ni: 0.0000 0.0000 0.5000
Ni: 0.0000 0.5000 0.0000
Ni: 0.5000 0.0000 0.0000
S: 0.5000 0.5000 0.5000

Properties
Calculated density ... 5.60 g/cm³
Energy relative to the elements, uncorrected ... 1.3196 eV/atom
E above lowest polymorph ... 1664.2 meV/atom
Spin magnetization ... 0.00 μB per atom

---

Entry from Alexandria: Li4Ti3NiSe8 after structural relaxation (PBE-GGA).

Cell: 7.6671 7.6671 7.6671 Å, 57.22 57.22 57.22°
Element x y z (fractional)
Li: 0.0000 0.0000 0.0000
Li: 0.0000 0.5000 0.5000
Li: 0.5000 0.0000 0.5000
Li: 0.5000 0.5000 0.0000
Ti: 0.0000 0.0000 0.5000
Ti: 0.0000 0.5000 0.0000
Ti: 0.5000 0.0000 0.0000
Ni: 0.5000 0.5000 0.5000
Se: 0.2462 0.2462 0.2462
Se: 0.2478 0.7412 0.7412
Se: 0.2588 0.2588 0.7522
Se: 0.2588 0.7522 0.2588
Se: 0.7412 0.2478 0.7412
Se: 0.7412 0.7412 0.2478
Se: 0.7522 0.2588 0.2588
Se: 0.7538 0.7538 0.7538

Properties
Calculated density ... 4.80 g/cm³
Energy relative to the elements, uncorrected ... -1.0389 eV/atom
Spin magnetization ... 0.09 μB per atom

---

Entry from Alexandria: Cr2BiBr after structural relaxation (PBE-GGA).

Cell: 7.0843 7.0843 7.0843 Å, 90.00 90.00 90.00°
Element x y z (fractional)
Cr: 0.2500 0.2500 0.2500
Cr: 0.2500 0.2500 0.7500
Cr: 0.2500 0.7500 0.2500
Cr: 0.2500 0.7500 0.7500
Cr: 0.7500 0.2500 0.2500
Cr: 0.7500 0.2500 0.7500
Cr: 0.7500 0.7500 0.2500
Cr: 0.7500 0.7500 0.7500
Bi: 0.0000 0.0000 0.0000
Bi: 0.0000 0.5000 0.5000
Bi: 0.5000 0.0000 0.5000
Bi: 0.5000 0.5000 0.0000
Br: 0.0000 0.0000 0.5000
Br: 0.0000 0.5000 0.0000
Br: 0.5000 0.0000 0.0000
Br: 0.5000 0.5000 0.5000

Properties
Calculated density ... 7.34 g/cm³
Energy relative to the elements, uncorrected ... 0.4870 eV/atom
E above lowest polymorph ... 59.3 meV/atom
Spin magnetization ... 1.99 μB per atom

---

Entry from Alexandria: MgHg2Te after structural relaxation (PBE-GGA).

Cell: 8.6127 8.6127 5.8691 Å, 90.00 90.00 90.00°
Element x y z (fractional)
Mg: 0.0000 0.0000 0.0000
Mg: 0.0000 0.5000 0.2500
Mg: 0.5000 0.0000 0.7500
Mg: 0.5000 0.5000 0.5000
Hg: 0.2363 0.7500 0.1250
Hg: 0.2500 0.2363 0.8750
Hg: 0.2500 0.2637 0.3750
Hg: 0.2637 0.7500 0.6250
Hg: 0.7363 0.2500 0.6250
Hg: 0.7500 0.7363 0.3750
Hg: 0.7500 0.7637 0.8750
Hg: 0.7637 0.2500 0.1250
Te: 0.0000 0.0000 0.5000
Te: 0.0000 0.5000 0.7500
Te: 0.5000 0.0000 0.2500
Te: 0.5000 0.5000 0.0000

Properties
Calculated density ... 8.44 g/cm³
Energy relative to the elements, uncorrected ... -0.1411 eV/atom
E above lowest polymorph ... 139.4 meV/atom
Spin magnetization ... 0.00 μB per atom

---

Entry from Alexandria: Ni2MoBr after structural relaxation (PBE-GGA).

Cell: 3.0264 3.1354 6.8439 Å, 90.00 90.24 90.00°
Element x y z (fractional)
Ni: 0.0000 0.0000 0.0000
Ni: 0.4982 0.5000 0.8227
Mo: 0.9965 0.0000 0.6365
Br: 0.9913 0.5000 0.3336

Properties
Calculated density ... 7.50 g/cm³
Energy relative to the elements, uncorrected ... 0.3324 eV/atom
E above lowest polymorph ... 0.0 meV/atom
Spin magnetization ... 0.00 μB per atom

---

Entry from Alexandria: Na2PrZnF8 after structural relaxation (PBE-GGA).

Cell: 4.0974 7.3457 5.5269 Å, 90.00 94.52 90.00°
Element x y z (fractional)
Na: 0.0000 0.2327 0.0000
Na: 0.0000 0.7673 0.0000
Pr: 0.5000 0.5000 0.5000
Zn: 0.5000 0.0000 0.5000
F: 0.0022 0.5000 0.2568
F: 0.1067 0.0000 0.2849
F: 0.4292 0.2257 0.7264
F: 0.4292 0.7743 0.7264
F: 0.5708 0.2257 0.2736
F: 0.5708 0.7743 0.2736
F: 0.8933 0.0000 0.7151
F: 0.9978 0.5000 0.7432

Properties
Calculated density ... 4.05 g/cm³
Energy relative to the elements, uncorrected ... -2.8076 eV/atom
Spin magnetization ... 0.09 μB per atom

---

Entry from Alexandria: AcMg12Hg6 after structural relaxation (PBE-GGA).

Cell: 8.0525 8.0525 8.0525 Å, 104.27 104.27 104.27°
Element x y z (fractional)
Ac: 0.0000 0.0000 0.0000
Mg: 0.1166 0.5000 0.8834
Mg: 0.1166 0.8834 0.5000
Mg: 0.1668 0.4252 0.4252
Mg: 0.4252 0.1668 0.4252
Mg: 0.4252 0.4252 0.1668
Mg: 0.5000 0.1166 0.8834
Mg: 0.5000 0.8834 0.1166
Mg: 0.5748 0.5748 0.8332
Mg: 0.5748 0.8332 0.5748
Mg: 0.8332 0.5748 0.5748
Mg: 0.8834 0.1166 0.5000
Mg: 0.8834 0.5000 0.1166
Hg: 0.2545 0.2545 0.7134
Hg: 0.2545 0.7134 0.2545
Hg: 0.2866 0.7455 0.7455
Hg: 0.7134 0.2545 0.2545
Hg: 0.7455 0.2866 0.7455
Hg: 0.7455 0.7455 0.2866

Properties
Calculated density ... 6.17 g/cm³
Formation energy ... -0.16 eV per atom
Spin magnetization ... 0.00 μB per atom

---

Entry from Alexandria: Ti2TeS after structural relaxation (PBE-GGA).

Cell: 5.4867 5.4867 13.4720 Å, 90.00 90.00 90.00°
Element x y z (fractional)
Ti: 0.1867 0.2500 0.1250
Ti: 0.2500 0.6867 0.3750
Ti: 0.2500 0.8133 0.8750
Ti: 0.3133 0.2500 0.6250
Ti: 0.6867 0.7500 0.6250
Ti: 0.7500 0.1867 0.8750
Ti: 0.7500 0.3133 0.3750
Ti: 0.8133 0.7500 0.1250
Te: 0.0000 0.0000 0.5000
Te: 0.0000 0.5000 0.7500
Te: 0.5000 0.0000 0.2500
Te: 0.5000 0.5000 0.0000
S: 0.0000 0.0000 0.0000
S: 0.0000 0.5000 0.2500
S: 0.5000 0.0000 0.7500
S: 0.5000 0.5000 0.5000

Properties
Calculated density ... 4.18 g/cm³
Energy relative to the elements, uncorrected ... -0.5412 eV/atom
E above lowest polymorph ... 407.7 meV/atom
Spin magnetization ... 0.95 μB per atom

---

Entry from Alexandria: Ho3Zn2Rh3 after structural relaxation (PBE-GGA).

Cell: 8.0583 8.0583 5.5555 Å, 90.00 90.00 120.00°
Element x y z (fractional)
Ho: 0.0000 0.2740 0.2500
Ho: 0.0000 0.7260 0.7500
Ho: 0.2740 0.0000 0.2500
Ho: 0.2740 0.2740 0.7500
Ho: 0.7260 0.0000 0.7500
Ho: 0.7260 0.7260 0.2500
Zn: 0.3333 0.6667 0.0000
Zn: 0.3333 0.6667 0.5000
Zn: 0.6667 0.3333 0.0000
Zn: 0.6667 0.3333 0.5000
Rh: 0.0000 0.3920 0.7500
Rh: 0.0000 0.6080 0.2500
Rh: 0.3920 0.0000 0.7500
Rh: 0.3920 0.3920 0.2500
Rh: 0.6080 0.0000 0.2500
Rh: 0.6080 0.6080 0.7500

Properties
Calculated density ... 9.93 g/cm³
Formation energy ... -0.66 eV per atom
Spin magnetization ... 0.00 μB per atom

---

Entry from Alexandria: Dy8FeAu2 after structural relaxation (PBE-GGA).

Cell: 8.9638 8.9638 6.7814 Å, 105.94 105.94 33.33°
Element x y z (fractional)
Dy: 0.0273 0.0273 0.2934
Dy: 0.2011 0.2011 0.8056
Dy: 0.3425 0.3425 0.5348
Dy: 0.4104 0.4104 0.0683
Dy: 0.5896 0.5896 0.9317
Dy: 0.6575 0.6575 0.4652
Dy: 0.7989 0.7989 0.1944
Dy: 0.9727 0.9727 0.7066
Fe: 0.5000 0.5000 0.5000
Au: 0.1863 0.1863 0.2165
Au: 0.8137 0.8137 0.7835

Properties
Calculated density ... 10.13 g/cm³
Formation energy ... -0.30 eV per atom
Spin magnetization ... 0.00 μB per atom

---

Entry from Alexandria: MgTa4Pb after structural relaxation (PBE-GGA).

Cell: 5.6146 5.6146 5.6146 Å, 60.00 60.00 60.00°
Element x y z (fractional)
Mg: 0.0000 0.0000 0.0000
Ta: 0.3732 0.3732 0.3732
Ta: 0.3732 0.3732 0.8805
Ta: 0.3732 0.8805 0.3732
Ta: 0.8805 0.3732 0.3732
Pb: 0.7500 0.7500 0.7500

Properties
Calculated density ... 12.67 g/cm³
Formation energy ... 0.50 eV per atom
Spin magnetization ... 0.00 μB per atom

---

Entry from Alexandria: MnFeP2 after structural relaxation (PBE-GGA).

Cell: 7.8999 2.8990 5.2723 Å, 90.00 130.90 90.00°
Element x y z (fractional)
Mn: 0.0000 0.0000 0.0000
Mn: 0.5000 0.5000 0.0000
Fe: 0.4104 0.5000 0.3945
Fe: 0.9104 0.0000 0.3945
P: 0.1599 0.5000 0.4577
P: 0.2493 0.0000 0.9284
P: 0.6599 0.0000 0.4577
P: 0.7493 0.5000 0.9284

Properties
Calculated density ... 6.29 g/cm³
Formation energy ... -0.45 eV per atom
E above lowest polymorph ... 141.2 meV/atom
Spin magnetization ... 0.00 μB per atom

---

Entry from Alexandria: CsKIn4 after structural relaxation (PBE-GGA).

Cell: 14.3778 6.3068 5.6597 Å, 90.00 112.94 90.00°
Element x y z (fractional)
Cs: 0.0000 0.0000 0.0000
Cs: 0.5000 0.5000 0.0000
K: 0.2911 0.5000 0.2904
K: 0.7911 0.0000 0.2904
In: 0.1489 0.2597 0.6488
In: 0.1489 0.7403 0.6488
In: 0.3381 0.0000 0.8395
In: 0.4506 0.0000 0.4498
In: 0.6489 0.2403 0.6488
In: 0.6489 0.7597 0.6488
In: 0.8381 0.5000 0.8395
In: 0.9506 0.5000 0.4498

Properties
Calculated density ... 4.44 g/cm³
Formation energy ... -0.01 eV per atom
E above lowest polymorph ... 68.0 meV/atom
Spin magnetization ... 0.00 μB per atom

---

Entry from Alexandria: KSnSe2 after structural relaxation (PBE-GGA).

Cell: 7.2432 7.2432 12.3781 Å, 90.00 90.00 90.00°
Element x y z (fractional)
K: 0.0000 0.0000 0.0000
K: 0.0000 0.5000 0.2500
K: 0.5000 0.0000 0.7500
K: 0.5000 0.5000 0.5000
Sn: 0.0000 0.0000 0.5000
Sn: 0.0000 0.5000 0.7500
Sn: 0.5000 0.0000 0.2500
Sn: 0.5000 0.5000 0.0000
Se: 0.1771 0.2500 0.6250
Se: 0.2500 0.6771 0.8750
Se: 0.2500 0.8229 0.3750
Se: 0.3229 0.2500 0.1250
Se: 0.6771 0.7500 0.1250
Se: 0.7500 0.1771 0.3750
Se: 0.7500 0.3229 0.8750
Se: 0.8229 0.7500 0.6250

Properties
Calculated density ... 3.23 g/cm³
Energy relative to the elements, uncorrected ... -0.6786 eV/atom
Spin magnetization ... 0.00 μB per atom

---

Entry from Alexandria: Sr2MgBr after structural relaxation (PBE-GGA).

Cell: 4.0386 4.3103 9.2035 Å, 90.00 90.00 90.00°
Element x y z (fractional)
Sr: 0.0000 0.0000 0.2306
Sr: 0.0000 0.0000 0.7694
Mg: 0.5000 0.5000 0.0000
Br: 0.5000 0.0000 0.5000

Properties
Calculated density ... 2.90 g/cm³
Energy relative to the elements, uncorrected ... -0.7221 eV/atom
E above lowest polymorph ... 0.0 meV/atom
Spin magnetization ... 0.00 μB per atom

---

Entry from Alexandria: BaNaUO4 after structural relaxation (PBE-GGA).

Cell: 4.3978 4.3978 13.0655 Å, 90.00 90.00 90.00°
Element x y z (fractional)
Ba: 0.0000 0.0000 0.0000
Ba: 0.5000 0.5000 0.5000
Na: 0.0000 0.0000 0.6957
Na: 0.5000 0.5000 0.1957
U: 0.0000 0.0000 0.3482
U: 0.5000 0.5000 0.8482
O: 0.0000 0.0000 0.1930
O: 0.0000 0.0000 0.5098
O: 0.0000 0.5000 0.3561
O: 0.0000 0.5000 0.8561
O: 0.5000 0.0000 0.3561
O: 0.5000 0.0000 0.8561
O: 0.5000 0.5000 0.0098
O: 0.5000 0.5000 0.6930

Properties
Calculated density ... 6.08 g/cm³
Energy relative to the elements, uncorrected ... -2.8036 eV/atom
Spin magnetization ... 0.14 μB per atom

---

Entry from Alexandria: LaW2Cl after structural relaxation (PBE-GGA).

Cell: 2.8670 2.8670 9.5974 Å, 90.00 90.00 90.00°
Element x y z (fractional)
La: 0.0000 0.0000 0.0000
W: 0.5000 0.5000 0.2795
W: 0.5000 0.5000 0.7205
Cl: 0.0000 0.0000 0.5000

Properties
Calculated density ... 11.41 g/cm³
Energy relative to the elements, uncorrected ... 1.0965 eV/atom
E above lowest polymorph ... 1133.8 meV/atom
Spin magnetization ... 0.00 μB per atom

---

Entry from Alexandria: VTcMoIr after structural relaxation (PBE-GGA).

Cell: 6.1779 6.1779 6.1779 Å, 90.00 90.00 90.00°
Element x y z (fractional)
V: 0.0000 0.0000 0.0000
V: 0.0000 0.5000 0.5000
V: 0.5000 0.0000 0.5000
V: 0.5000 0.5000 0.0000
Tc: 0.0000 0.0000 0.5000
Tc: 0.0000 0.5000 0.0000
Tc: 0.5000 0.0000 0.0000
Tc: 0.5000 0.5000 0.5000
Mo: 0.2500 0.2500 0.2500
Mo: 0.2500 0.7500 0.7500
Mo: 0.7500 0.2500 0.7500
Mo: 0.7500 0.7500 0.2500
Ir: 0.2500 0.2500 0.7500
Ir: 0.2500 0.7500 0.2500
Ir: 0.7500 0.2500 0.2500
Ir: 0.7500 0.7500 0.7500

Properties
Calculated density ... 12.31 g/cm³
Formation energy ... 0.00 eV per atom
Spin magnetization ... 0.32 μB per atom

---

Entry from Alexandria: Er4ScPb after structural relaxation (PBE-GGA).

Cell: 5.1258 5.1258 7.5524 Å, 90.00 90.00 90.00°
Element x y z (fractional)
Er: 0.0000 0.5000 0.2420
Er: 0.0000 0.5000 0.7580
Er: 0.5000 0.0000 0.2420
Er: 0.5000 0.0000 0.7580
Sc: 0.0000 0.0000 0.0000
Pb: 0.5000 0.5000 0.5000

Properties
Calculated density ... 7.71 g/cm³
Formation energy ... 0.27 eV per atom
Spin magnetization ... 0.00 μB per atom

---

Entry from Alexandria: Dy4Ho3Ru4 after structural relaxation (PBE-GGA).

Cell: 9.4323 9.4323 9.4323 Å, 158.52 124.01 60.66°
Element x y z (fractional)
Dy: 0.0265 0.8355 0.1910
Dy: 0.3556 0.1645 0.1910
Dy: 0.6444 0.8355 0.8090
Dy: 0.9735 0.1645 0.8090
Ho: 0.0000 0.5000 0.5000
Ho: 0.4030 0.4030 0.0000
Ho: 0.5970 0.5970 0.0000
Ru: 0.2589 0.7589 0.5000
Ru: 0.2760 0.0000 0.2760
Ru: 0.7240 0.0000 0.7240
Ru: 0.7411 0.2411 0.5000

Properties
Calculated density ... 10.15 g/cm³
Formation energy ... -0.32 eV per atom
Spin magnetization ... 0.00 μB per atom

---

Entry from Alexandria: BeCoRe2 after structural relaxation (PBE-GGA).

Cell: 2.7229 2.7229 23.8399 Å, 90.00 90.00 120.00°
Element x y z (fractional)
Be: 0.0000 0.0000 0.0000
Be: 0.3333 0.6667 0.6667
Be: 0.6667 0.3333 0.3333
Co: 0.0000 0.0000 0.7370
Co: 0.3333 0.6667 0.4037
Co: 0.6667 0.3333 0.0704
Re: 0.0000 0.0000 0.2502
Re: 0.0000 0.0000 0.4921
Re: 0.3333 0.6667 0.1588
Re: 0.3333 0.6667 0.9169
Re: 0.6667 0.3333 0.5835
Re: 0.6667 0.3333 0.8255

Properties
Calculated density ... 14.33 g/cm³
Formation energy ... 0.15 eV per atom
Spin magnetization ... 0.21 μB per atom